No. 1
10
Lattice="-0.1702 1.2851 -2.4370 -3.1912 -1.6666 -0.6559 -7.0302 10.9880 6.2852" Properties=species:S:1:pos:R:3 comment="FePOs2Au (PBE-GGA, optimized geometry)" e_form_ev_per_atom=0.190 pbc="T T T"
Os -8.0523 9.7679 4.1499
Os -3.8769 2.7323 1.7115
Os -2.9416 5.1071 1.3352
Fe -6.6677 7.6038 2.9120
Au -5.3472 5.0304 3.0261
Os -5.7964 9.0596 5.1821
P -4.6801 7.3149 4.1841
P -2.7606 0.9876 0.7136
Au -0.2365 0.3697 0.2115
Fe -1.5570 2.9431 0.0974

---

No. 2
5
Lattice="4.9440 0.0000 0.0000 0.0000 4.9440 0.0000 0.0000 0.0000 4.9440" Properties=species:S:1:pos:R:3 comment="Tc3AgP (PBE-GGA, optimized geometry)" e_form_ev_per_atom=2.641 pbc="T T T"
Ag 0.0000 0.0000 0.0000
P 2.4720 2.4720 2.4720
Tc 0.0000 0.0000 2.4720
Tc 2.4720 0.0000 0.0000
Tc 0.0000 2.4720 0.0000

---

No. 3
KAsH3: optimized geometry, PBE-GGA.

Cell and atoms, written as extended XYZ:
```
5
Lattice="-3.7627 1.9455 0.1434 -1.7539 -3.5102 1.6018 0.8540 1.3627 3.9214" Properties=species:S:1:pos:R:3 pbc="T T T"
H 0.4270 0.6813 1.9607
H -0.8769 -1.7551 0.8009
K 0.0000 0.0000 0.0000
As -2.3313 -0.1010 2.8333
H -1.8813 0.9727 0.0717
```

---

No. 4
6
Lattice="-2.6576 0.9891 2.0735 3.3286 -1.2827 4.8780 3.1524 9.4043 -3.4214" Properties=species:S:1:pos:R:3 comment="Tb2PrNd3 (PBE-GGA, optimized geometry)" e_form_ev_per_atom=0.317 pbc="T T T"
Tb 1.3012 2.4164 3.4908
Nd 1.3307 3.5318 0.0207
Tb 2.5222 6.6942 0.0393
Nd 2.4927 5.5788 3.5094
Pr 0.0000 0.0000 0.0000
Nd 1.6643 -0.6414 2.4390

---

No. 5
12
Lattice="5.2690 0.0000 0.0000 0.0000 6.7779 0.0000 0.0000 0.0000 9.9567" Properties=species:S:1:pos:R:3 comment="Sm3ErIn2 (PBE-GGA, optimized geometry)" e_form_ev_per_atom=-0.352 pbc="T T T"
Sm 0.0000 3.1714 9.6139
Sm 2.6345 4.7021 1.8093
In 0.0000 5.3552 3.5430
In 2.6345 1.4365 1.4560
Sm 0.0000 5.4651 6.7127
In 2.6345 4.8254 8.5007
In 0.0000 1.9662 6.4137
Er 2.6345 0.2034 4.6101
Er 2.6345 3.5923 5.3466
Sm 0.0000 6.5604 0.3428
Sm 0.0000 2.0761 3.2440
Sm 2.6345 1.3131 8.1474

---

No. 6
16
Lattice="-6.1609 1.0777 -1.5120 1.9491 -5.9424 1.5144 -2.0706 1.7974 9.7180" Properties=species:S:1:pos:R:3 comment="HfMg14Zr (PBE-GGA, optimized geometry)" e_form_ev_per_atom=0.074 pbc="T T T"
Mg -5.0119 0.0870 6.7917
Mg -2.1624 -4.4843 5.6145
Hf -1.0353 0.8987 4.8590
Mg -2.0848 -2.4506 0.0091
Mg -1.1255 -5.3754 0.7544
Mg 0.1064 -4.3460 3.4567
Mg -4.0704 -2.8997 7.5305
Mg 0.9475 -2.9810 0.7533
Mg -3.0380 -3.7960 2.6850
Zr 0.0000 0.0000 0.0000
Mg -3.9738 -0.8141 1.9199
Mg -1.9208 -0.4169 7.5293
Mg -0.9260 -3.4498 8.3022
Mg -0.0804 -2.0796 5.6133
Mg -3.1258 -1.5469 4.8659
Mg -0.8884 -1.3131 2.6838

---

No. 7
15
Lattice="-5.5413 -1.3034 3.4353 4.1725 -4.9312 -1.5746 4.7821 1.4123 8.2496" Properties=species:S:1:pos:R:3 comment="Sr3ZnSb2Pd9 (PBE-GGA, optimized geometry)" formation_energy_uncorrected_mev_per_atom=-437 pbc="T T T"
Pd 2.0863 -2.4656 -0.7873
Pd 1.6454 -3.7300 7.6730
Sb 1.8116 -3.4629 1.6082
Pd 1.7680 -1.0923 2.4374
Sr 4.2746 -2.7356 5.8572
Sb 1.6018 -1.3594 8.5021
Sr 0.0000 0.0000 0.0000
Pd 2.4614 -0.0131 6.5636
Sr -0.8612 -2.0868 4.2532
Pd -2.7706 -0.6517 1.7176
Pd 0.9520 -4.8093 3.5467
Zn 2.3911 0.7061 4.1248
Pd -0.6844 -3.1173 0.9304
Pd 4.2556 -4.0322 1.4987
Pd -0.8422 -0.7901 8.6117

---

No. 8
12
Lattice="5.1200 0.0000 1.1158 2.1238 7.5852 2.5594 0.2541 -0.1793 11.1385" Properties=species:S:1:pos:R:3 comment="Ca2Pm5Pr5 (PBE-GGA, optimized geometry)" e_form_ev_per_atom=0.046 pbc="T T T"
Ca 1.7277 4.3789 4.3769
Ca 5.7702 3.0270 10.4369
Pm 0.0000 0.0000 0.0000
Pr 2.4079 2.4799 1.2559
Pm 4.4357 1.7833 4.2558
Pr 5.0900 4.9260 13.5579
Pr 3.3605 0.4388 9.1893
Pr 4.1374 6.9671 5.6244
Pr 3.7489 3.7030 7.4069
Pm 1.3412 1.1083 6.1502
Pm 6.1567 6.2976 8.6635
Pm 3.0622 5.6226 10.5580

---

Looking at VASP energy for the records above, in order, we have -0.5683; -0.3844; -0.1403; -0.3239; -0.3223; -0.1821; -0.3325; -0.3130 Ry per atom.